DFT (PBE) results for a relaxed structure of BaRuRh4.

Unit cell a=5.3650 b=5.3650 c=5.3650 alpha=60.00 beta=60.00 gamma=60.00
Fractional positions:
Ba 0.0000 0.0000 0.0000
Ru 0.7500 0.7500 0.7500
Rh 0.8716 0.3761 0.3761
Rh 0.3761 0.3761 0.8716
Rh 0.3761 0.8716 0.3761
Rh 0.3761 0.3761 0.3761

## Properties
- Calculated density: 9.9 g/cm³
- Energy: -37.7 eV/cell
- Volume: 109.2 Å³/f.u.
- Total magnetic moment: 0.64 μB/atom
- D(E_F): 1.544 states/eV per atom

DFT (PBE) results for a relaxed structure of SrHf4Te8.

Unit cell a=8.0099 b=8.0099 c=9.0616 alpha=102.24 beta=103.36 gamma=119.92
Fractional positions:
Sr 0.0000 0.5000 0.5000
Hf 0.2371 0.2371 0.0000
Hf 0.7629 0.7629 0.0000
Hf 0.2454 0.7543 0.9997
Hf 0.7546 0.2457 0.0003
Te 0.6895 0.0177 0.2174
Te 0.1998 0.5279 0.2174
Te 0.6863 0.5218 0.2081
Te 0.1973 0.0262 0.2235
Te 0.8027 0.9738 0.7765
Te 0.3137 0.4782 0.7919
Te 0.8002 0.4721 0.7826
Te 0.3105 0.9823 0.7826

## Properties
- Calculated density: 6.7 g/cm³
- Volume: 451.8 Å³/f.u.
- Formation energy from raw total energies: -937 meV per atom
- Total magnetic moment: 0.00 μB/atom
- D(E_F): 0.489 states/eV per atom

DFT (PBE) results for a relaxed structure of TcAg2Hg.

Unit cell a=4.2366 b=2.7924 c=6.6473 alpha=65.05 beta=90.00 gamma=90.00
Fractional positions:
Ag 0.0000 0.0045 0.9947
Ag 0.5000 0.2602 0.2397
Hg 0.0000 0.4890 0.5119
Tc 0.5000 0.7464 0.7537

## Properties
- Calculated density: 12.0 g/cm³
- Energy: -14.3 eV/cell
- Volume: 71.3 Å³/f.u.
- Total magnetic moment: 0.17 μB/atom
- D(E_F): 0.877 states/eV per atom

DFT (PBE) results for a relaxed structure of ZrScNi2Sn2.

Unit cell a=7.5614 b=7.5614 c=7.5614 alpha=33.53 beta=33.53 gamma=33.53
Fractional positions:
Zr 0.3738 0.3738 0.3738
Sc 0.8761 0.8761 0.8761
Ni 0.0012 0.0012 0.0012
Ni 0.4988 0.4988 0.4988
Sn 0.1255 0.1255 0.1255
Sn 0.6246 0.6246 0.6246

## Properties
- Calculated density: 6.9 g/cm³
- Energy: -38.3 eV/cell
- Volume: 117.5 Å³/f.u.
- Total magnetic moment: 0.00 μB/atom
- D(E_F): 0.950 states/eV per atom

DFT (PBE) results for a relaxed structure of Ca2PuGe3Pt4.

Unit cell a=4.3088 b=4.3088 c=11.1783 alpha=90.00 beta=90.00 gamma=90.00
Fractional positions:
Ca 0.5000 0.0000 0.2275
Ca 0.0000 0.5000 0.7725
Pu 0.5000 0.5000 0.5000
Ge 0.0000 0.0000 0.5000
Ge 0.5000 0.0000 0.8787
Ge 0.0000 0.5000 0.1213
Pt 0.5000 0.5000 0.0000
Pt 0.0000 0.0000 0.0000
Pt 0.5000 0.0000 0.6609
Pt 0.0000 0.5000 0.3391

## Properties
- Calculated density: 10.6 g/cm³
- Energy: -64.1 eV/cell
- Volume: 207.5 Å³/f.u.
- Total magnetic moment: 0.52 μB/atom
- D(E_F): 1.168 states/eV per atom

DFT (PBE) results for a relaxed structure of InFeIr2.

Unit cell a=4.8300 b=4.8300 c=4.7620 alpha=79.28 beta=79.28 gamma=34.78
Fractional positions:
Fe 0.4907 0.4907 0.5355
In 0.2517 0.2517 0.2423
Ir 0.0072 0.0072 0.9893
Ir 0.7504 0.7504 0.7329

## Properties
- Calculated density: 14.8 g/cm³
- Energy: -28.5 eV/cell
- Volume: 62.2 Å³/f.u.
- Total magnetic moment: 0.73 μB/atom
- D(E_F): 1.176 states/eV per atom

DFT (PBE) results for a relaxed structure of BaAc2Hf.

Unit cell a=3.6693 b=3.6693 c=13.7323 alpha=82.32 beta=82.32 gamma=60.00
Fractional positions:
Ac 0.0780 0.0780 0.7659
Ac 0.9220 0.9220 0.2341
Hf 0.0000 0.0000 0.0000
Ba 0.5000 0.5000 0.5000

## Properties
- Calculated density: 8.1 g/cm³
- Energy: -17.5 eV/cell
- Volume: 158.2 Å³/f.u.
- Total magnetic moment: 0.00 μB/atom
- D(E_F): 1.215 states/eV per atom

DFT (PBE) results for a relaxed structure of La4NdPd2.

Unit cell a=6.5476 b=8.1092 c=8.6031 alpha=113.02 beta=90.00 gamma=90.00
Fractional positions:
La 0.4833 0.3179 0.8126
La 0.7500 0.1451 0.1079
La 0.2500 0.8549 0.8921
La 0.0167 0.3179 0.8126
La 0.2500 0.5396 0.4650
La 0.9833 0.6821 0.1874
La 0.5167 0.6821 0.1874
La 0.7500 0.4604 0.5350
Nd 0.7500 0.8950 0.6255
Nd 0.2500 0.1050 0.3745
Pd 0.7500 0.7283 0.8895
Pd 0.2500 0.2717 0.1105
Pd 0.2500 0.9360 0.6032
Pd 0.7500 0.0640 0.3968

## Properties
- Calculated density: 7.2 g/cm³
- Energy: -74.4 eV/cell
- Volume: 210.2 Å³/f.u.
- Total magnetic moment: 0.00 μB/atom
- D(E_F): 1.214 states/eV per atom